[1]
CaNbFeAg2 after structural relaxation. Source: Alexandria, functional PBE.

Structure (POSCAR):
```
CaNbFeAg2
1.0
4.937 0.000 0.000
0.000 4.937 0.000
0.000 0.000 4.346
Ca Nb Fe Ag
1 1 1 2
direct
0.000 0.000 0.000
0.500 0.500 0.500
0.000 0.000 0.500
0.000 0.500 0.000
0.500 0.000 0.000
```

[2]
RbCaFeAg2 after structural relaxation. Source: Alexandria, functional PBE.

Structure (POSCAR):
```
RbCaFeAg2
1.0
5.160 0.000 0.000
0.000 5.160 0.000
0.000 0.000 5.430
Rb Ca Fe Ag
1 1 1 2
direct
0.000 0.000 0.000
0.500 0.500 0.000
0.000 0.000 0.500
0.000 0.500 0.500
0.500 0.000 0.500
```

[3]
CaTiFeAg2 after structural relaxation. Source: Alexandria, functional PBE.

Structure (POSCAR):
```
CaTiFeAg2
1.0
5.071 0.000 0.000
0.000 5.071 0.000
0.000 0.000 4.127
Ca Ti Fe Ag
1 1 1 2
direct
0.000 0.000 0.000
0.500 0.500 0.000
0.500 0.500 0.500
0.000 0.500 0.500
0.500 0.000 0.500
```

[4]
CaZr2FeAg after structural relaxation. Source: Alexandria, functional PBE.

Structure (POSCAR):
```
CaZr2FeAg
1.0
4.762 0.000 0.000
0.000 4.762 0.000
0.000 0.000 5.441
Ca Zr Fe Ag
1 2 1 1
direct
0.000 0.000 0.000
0.000 0.500 0.500
0.500 0.000 0.500
0.000 0.000 0.500
0.500 0.500 0.000
```

[5]
Ca2Ga5Ag after structural relaxation. Source: Alexandria, functional PBE.

Structure (POSCAR):
```
Ca2Ga5Ag
1.0
2.137 -8.477 0.000
2.137 8.477 0.000
0.000 0.000 9.357
Ca Ga Ag
4 10 2
direct
0.000 0.000 0.000
0.000 0.000 0.500
0.197 0.803 0.750
0.803 0.197 0.250
0.195 0.805 0.106
0.195 0.805 0.394
0.355 0.645 0.027
0.355 0.645 0.473
0.398 0.602 0.750
0.602 0.398 0.250
0.645 0.355 0.527
0.645 0.355 0.973
0.805 0.195 0.606
0.805 0.195 0.894
0.450 0.550 0.250
0.550 0.450 0.750
```

[6]
CaGa6Ag4 after structural relaxation. Source: Alexandria, functional PBE.

Structure (POSCAR):
```
CaGa6Ag4
1.0
-3.400 3.400 4.968
3.400 -3.400 4.968
3.400 3.400 -4.968
Ca Ga Ag
1 6 4
direct
0.000 0.000 0.000
0.000 0.500 0.500
0.106 0.106 0.565
0.458 0.894 0.000
0.500 0.000 0.500
0.542 0.542 0.435
0.894 0.458 0.000
0.239 0.563 0.000
0.437 0.437 0.676
0.563 0.239 0.000
0.761 0.761 0.324
```

[7]
Ca8Ga2Ag after structural relaxation. Source: Alexandria, functional PBE.

Structure (POSCAR):
```
Ca8Ga2Ag
1.0
9.399 -2.629 0.000
9.399 2.629 0.000
-2.301 0.000 7.003
Ca Ga Ag
8 2 1
direct
0.031 0.031 0.287
0.204 0.204 0.810
0.332 0.332 0.538
0.402 0.402 0.047
0.598 0.598 0.953
0.668 0.668 0.462
0.796 0.796 0.190
0.969 0.969 0.713
0.183 0.183 0.206
0.817 0.817 0.794
0.500 0.500 0.500
```

Properties
distance to the lowest polymorph of the same formula: 0.000 eV per atom

[8]
Ca3Ga6Ag5 after structural relaxation. Source: Alexandria, functional PBE.

Structure (POSCAR):
```
Ca3Ga6Ag5
1.0
-2.243 4.944 6.576
2.243 -4.944 6.576
2.243 4.944 -6.576
Ca Ga Ag
3 6 5
direct
0.000 0.000 0.000
0.306 0.306 0.000
0.694 0.694 0.000
0.155 0.873 0.282
0.297 0.500 0.797
0.409 0.127 0.282
0.591 0.873 0.718
0.703 0.500 0.203
0.845 0.127 0.718
0.027 0.671 0.356
0.315 0.671 0.644
0.500 0.000 0.500
0.685 0.329 0.356
0.973 0.329 0.644
```

[9]
CaGa3Ag3 after structural relaxation. Source: Alexandria, functional PBE.

Structure (POSCAR):
```
CaGa3Ag3
1.0
4.085 2.359 5.241
-4.085 2.359 5.241
0.000 -4.717 5.241
Ca Ga Ag
2 6 6
direct
0.177 0.177 0.177
0.823 0.823 0.823
0.047 0.370 0.719
0.281 0.953 0.630
0.370 0.719 0.047
0.630 0.281 0.953
0.719 0.047 0.370
0.953 0.630 0.281
0.165 0.735 0.444
0.265 0.556 0.835
0.444 0.165 0.735
0.556 0.835 0.265
0.735 0.444 0.165
0.835 0.265 0.556
```

Properties
distance to the lowest polymorph of the same formula: 0.103 eV per atom

[10]
Ca2Ga5Ag3 after structural relaxation. Source: Alexandria, functional PBE.

Structure (POSCAR):
```
Ca2Ga5Ag3
1.0
-5.839 5.952 3.003
5.839 -5.952 3.003
5.839 5.952 -3.003
Ca Ga Ag
4 10 6
direct
0.124 0.247 0.372
0.376 0.747 0.123
0.624 0.253 0.877
0.876 0.753 0.628
0.002 0.250 0.752
0.127 0.861 0.989
0.250 0.750 0.500
0.373 0.361 0.734
0.498 0.250 0.248
0.502 0.750 0.752
0.627 0.639 0.266
0.750 0.250 0.500
0.873 0.139 0.011
0.998 0.750 0.248
0.125 0.642 0.766
0.250 0.250 0.000
0.375 0.142 0.517
0.625 0.858 0.483
0.750 0.750 0.000
0.875 0.358 0.234
```

[11]
Ca3Ga2Ag after structural relaxation. Source: Alexandria, functional PBE.

Structure (POSCAR):
```
Ca3Ga2Ag
1.0
3.711 0.000 0.000
0.000 3.711 0.000
0.000 0.000 10.910
Ca Ga Ag
3 2 1
direct
0.000 0.000 0.000
0.000 0.000 0.327
0.000 0.000 0.673
0.500 0.500 0.159
0.500 0.500 0.841
0.500 0.500 0.500
```

Properties
distance to the lowest polymorph of the same formula: 0.004 eV per atom

[12]
Ca12GaAg6 after structural relaxation. Source: Alexandria, functional PBE.

Structure (POSCAR):
```
Ca12GaAg6
1.0
-5.247 5.247 5.247
5.247 -5.247 5.247
5.247 5.247 -5.247
Ca Ga Ag
12 1 6
direct
0.107 0.819 0.288
0.181 0.288 0.468
0.181 0.712 0.893
0.288 0.107 0.819
0.288 0.468 0.181
0.468 0.181 0.288
0.532 0.819 0.712
0.712 0.532 0.819
0.712 0.893 0.181
0.819 0.288 0.107
0.819 0.712 0.532
0.893 0.181 0.712
0.000 0.000 0.000
0.132 0.632 0.500
0.368 0.500 0.868
0.500 0.132 0.632
0.500 0.868 0.368
0.632 0.500 0.132
0.868 0.368 0.500
```

Calculated values (meV per atom) of energy relative to the elements for the records, taken in order: 1793; 718; 242; 344; -397; -45; -251; -298; -125; -316; -394; -226.
Calculated values (states/eV per atom) of DOS(E_F) for the records, taken in order: 1.71; 1.02; 0.67; 1.09; 0.29; 0.32; 0.78; 0.44; 0.24; 0.37; 0.79; 0.68.